{
  "formula": "Ac2Y2Se2S3",
  "functional": "PBE-GGA",
  "state": "relaxed",
  "space_group": "No. 139",
  "n_ef_per_ev_fu": 5.230,
  "total_energy_ev_per_atom": -6.25,
  "formation_energy_uncorrected_ev_per_fu": -15.71,
  "cell": [[-2.561, 2.561, 9.802], [2.561, -2.561, 9.802], [2.561, 2.561, -9.802]],
  "species": ["Ac", "Ac", "Y", "Y", "Se", "Se", "S", "S", "S"],
  "fractional_positions": [[0.178, 0.178, 0.000], [0.822, 0.822, 0.000], [0.000, 0.500, 0.500], [0.500, 0.000, 0.500], [0.408, 0.408, 0.000], [0.592, 0.592, 0.000], [0.000, 0.000, 0.000], [0.250, 0.750, 0.500], [0.750, 0.250, 0.500]]
}